{
  "formula": "BeIr2Pd",
  "functional": "PBE",
  "state": "relaxed",
  "lattice": [[0.0000, 3.0200, 3.0200], [3.0200, 0.0000, 3.0200], [3.0200, 3.0200, 0.0000]],
  "species": ["Ir", "Ir", "Be", "Pd"],
  "frac_coords": [[0.0000, 0.0000, 0.0000], [0.7500, 0.7500, 0.7500], [0.5000, 0.5000, 0.5000], [0.2500, 0.2500, 0.2500]],
  "final_energy_ev_per_atom": -6.493,
  "density_g_cm3": 15.07,
  "magmom_total_mub_per_cell": 0.0
}